1.
A plane-wave DFT calculation with SCAN was carried out for a crystal of Li2Mn2O3 relaxed with PBEsol.

Summary:
E: -10.4668 eV per atom

a = 5.7302 Å, b = 5.3344 Å, c = 5.4096 Å
α = 90.00°, β = 114.36°, γ = 90.00°
Fractional coordinates of all 14 atoms:
1 Li 0.0613 0.1543 0.1841
2 Li 0.0613 0.3457 0.6841
3 Li 0.9387 0.6543 0.3159
4 Li 0.9387 0.8457 0.8159
5 Mn 0.3582 0.5943 0.2195
6 Mn 0.3582 0.9057 0.7195
7 Mn 0.6418 0.0943 0.2805
8 Mn 0.6418 0.4057 0.7805
9 O 0.0000 0.0000 0.5000
10 O 0.0000 0.5000 0.0000
11 O 0.2955 0.5452 0.5846
12 O 0.2955 0.9548 0.0846
13 O 0.7045 0.0452 0.9154
14 O 0.7045 0.4548 0.4154



2.
A plane-wave DFT calculation with SCAN was carried out for a crystal of Li5MnO5 relaxed with PBEsol.

Summary:
E: -7.5910 eV per atom

a = 4.9943 Å, b = 4.9943 Å, c = 5.5568 Å
α = 106.96°, β = 106.96°, γ = 45.21°
Fractional coordinates of all 11 atoms:
1 Li 0.0000 0.0000 0.0000
2 Li 0.3015 0.3015 0.1703
3 Li 0.3172 0.3172 0.6370
4 Li 0.6828 0.6828 0.3630
5 Li 0.6985 0.6985 0.8297
6 Mn 0.0000 0.0000 0.5000
7 O 0.1432 0.1432 0.3313
8 O 0.1529 0.1529 0.8112
9 O 0.5000 0.5000 0.5000
10 O 0.8471 0.8471 0.1888
11 O 0.8568 0.8568 0.6687



3.
A plane-wave DFT calculation with SCAN was carried out for a crystal of Li8Mn5O10 relaxed with PBEsol.

Summary:
E: -9.5548 eV per atom

a = 5.1248 Å, b = 5.3846 Å, c = 8.3326 Å
α = 103.78°, β = 93.37°, γ = 93.03°
Fractional coordinates of all 23 atoms:
1 Li 0.0000 0.0000 0.0000
2 Li 0.0022 0.7941 0.6143
3 Li 0.7010 0.9665 0.2026
4 Li 0.7421 0.5299 0.3917
5 Li 0.7639 0.6833 0.8009
6 Li 0.9151 0.5988 0.1271
7 Li 0.9437 0.1732 0.4406
8 Li 0.9779 0.3257 0.7942
9 Mn 0.2998 0.2890 0.2298
10 Mn 0.3520 0.8589 0.3991
11 Mn 0.3808 0.6202 0.9889
12 Mn 0.3863 0.4271 0.6000
13 Mn 0.4372 0.0263 0.7926
14 O 0.0750 0.9548 0.2272
15 O 0.1246 0.5193 0.4393
16 O 0.1350 0.7167 0.8265
17 O 0.1364 0.3481 0.0136
18 O 0.1656 0.1229 0.6157
19 O 0.5613 0.6121 0.2017
20 O 0.5790 0.1963 0.3869
21 O 0.5995 0.3734 0.7876
22 O 0.6059 0.7340 0.5961
23 O 0.6194 0.8999 0.9756



4.
A plane-wave DFT calculation with SCAN was carried out for a crystal of Li4MnO3 relaxed with PBEsol.

Summary:
E: -7.7292 eV per atom

a = 5.5621 Å, b = 5.5621 Å, c = 6.8133 Å
α = 108.35°, β = 108.35°, γ = 53.22°
Fractional coordinates of all 16 atoms:
1 Li 0.0250 0.6081 0.0954
2 Li 0.0911 0.3957 0.4188
3 Li 0.1439 0.8561 0.5000
4 Li 0.2361 0.5399 0.7985
5 Li 0.3957 0.0911 0.9188
6 Li 0.5399 0.2361 0.2985
7 Li 0.6081 0.0250 0.5954
8 Li 0.8561 0.1439 0.0000
9 Mn 0.5236 0.7339 0.1923
10 Mn 0.7339 0.5236 0.6923
11 O 0.1336 0.2115 0.6528
12 O 0.2115 0.1336 0.1528
13 O 0.4363 0.4439 0.5761
14 O 0.4439 0.4363 0.0761
15 O 0.8155 0.8202 0.8376
16 O 0.8202 0.8155 0.3376



5.
A plane-wave DFT calculation with SCAN was carried out for a crystal of Li5Mn4O8 relaxed with PBEsol.

Summary:
E: -10.0201 eV per atom

a = 6.3257 Å, b = 6.3257 Å, c = 5.5857 Å
α = 115.15°, β = 115.15°, γ = 52.15°
Fractional coordinates of all 17 atoms:
1 Li 0.0000 0.0000 0.0000
2 Li 0.0000 0.5000 0.0000
3 Li 0.0859 0.0859 0.6817
4 Li 0.5000 0.0000 0.0000
5 Li 0.9141 0.9141 0.3183
6 Mn 0.0000 0.5000 0.5000
7 Mn 0.5000 0.0000 0.5000
8 Mn 0.5000 0.5000 0.0000
9 Mn 0.5000 0.5000 0.5000
10 O 0.2448 0.2448 0.2609
11 O 0.2571 0.7308 0.2460
12 O 0.2587 0.2587 0.7453
13 O 0.2692 0.7429 0.7540
14 O 0.7308 0.2571 0.2460
15 O 0.7413 0.7413 0.2547
16 O 0.7429 0.2692 0.7540
17 O 0.7552 0.7552 0.7391



6.
A plane-wave DFT calculation with SCAN was carried out for a crystal of Li2MnO2 relaxed with PBEsol.

Summary:
energy above the most stable polymorph in this dataset: 0.17 eV per formula unit

a = 3.1656 Å, b = 3.1656 Å, c = 5.2288 Å
α = 90.00°, β = 90.00°, γ = 120.00°
Fractional coordinates of all 5 atoms:
1 Li 0.3333 0.6667 0.1331
2 Li 0.6667 0.3333 0.8669
3 Mn 0.0000 0.0000 0.5000
4 O 0.3333 0.6667 0.7454
5 O 0.6667 0.3333 0.2546



7.
A plane-wave DFT calculation with SCAN was carried out for a crystal of Li5Mn6O16 relaxed with PBEsol.

Summary:
E: -10.2067 eV per atom

a = 10.0976 Å, b = 10.0976 Å, c = 10.0976 Å
α = 32.38°, β = 32.38°, γ = 32.38°
Fractional coordinates of all 27 atoms:
1 Li 0.0000 0.0000 0.0000
2 Li 0.1880 0.1880 0.1880
3 Li 0.3105 0.3105 0.3105
4 Li 0.6895 0.6895 0.6895
5 Li 0.8120 0.8120 0.8120
6 Mn 0.2513 0.2513 0.7487
7 Mn 0.2513 0.7487 0.2513
8 Mn 0.2513 0.7487 0.7487
9 Mn 0.7487 0.2513 0.2513
10 Mn 0.7487 0.2513 0.7487
11 Mn 0.7487 0.7487 0.2513
12 O 0.1033 0.1033 0.6478
13 O 0.1033 0.6478 0.1033
14 O 0.1195 0.1195 0.1195
15 O 0.1381 0.6052 0.6052
16 O 0.3522 0.8967 0.8967
17 O 0.3805 0.3805 0.3805
18 O 0.3948 0.3948 0.8619
19 O 0.3948 0.8619 0.3948
20 O 0.6052 0.1381 0.6052
21 O 0.6052 0.6052 0.1381
22 O 0.6195 0.6195 0.6195
23 O 0.6478 0.1033 0.1033
24 O 0.8619 0.3948 0.3948
25 O 0.8805 0.8805 0.8805
26 O 0.8967 0.3522 0.8967
27 O 0.8967 0.8967 0.3522



8.
A plane-wave DFT calculation with SCAN was carried out for a crystal of Li5MnO4 relaxed with PBEsol.

Summary:
energy above the most stable polymorph in this dataset: 0.19 eV per formula unit

a = 7.1879 Å, b = 5.0794 Å, c = 4.9402 Å
α = 90.00°, β = 90.00°, γ = 90.00°
Fractional coordinates of all 20 atoms:
1 Li 0.0000 0.1719 0.0000
2 Li 0.1740 0.5772 0.7092
3 Li 0.1880 0.0844 0.5407
4 Li 0.3120 0.9156 0.0407
5 Li 0.3260 0.4228 0.2092
6 Li 0.5000 0.8281 0.5000
7 Li 0.6740 0.4228 0.2092
8 Li 0.6880 0.9156 0.0407
9 Li 0.8120 0.0844 0.5407
10 Li 0.8260 0.5772 0.7092
11 Mn 0.0000 0.6573 0.2528
12 Mn 0.5000 0.3427 0.7528
13 O 0.0000 0.3176 0.3929
14 O 0.0000 0.8019 0.9063
15 O 0.2415 0.7444 0.3700
16 O 0.2585 0.2556 0.8700
17 O 0.5000 0.1981 0.4063
18 O 0.5000 0.6824 0.8929
19 O 0.7415 0.2556 0.8700
20 O 0.7585 0.7444 0.3700



9.
A plane-wave DFT calculation with SCAN was carried out for a crystal of Li5Mn3O8 relaxed with PBEsol.

Summary:
energy above the most stable polymorph in this dataset: 0.00 eV per formula unit

a = 4.8753 Å, b = 5.6303 Å, c = 4.9813 Å
α = 90.00°, β = 109.00°, γ = 90.00°
Fractional coordinates of all 16 atoms:
1 Li 0.0000 0.0000 0.0000
2 Li 0.0000 0.2372 0.5000
3 Li 0.0000 0.7628 0.5000
4 Li 0.5000 0.0000 0.5000
5 Li 0.5000 0.5000 0.5000
6 Mn 0.0000 0.5000 0.0000
7 Mn 0.5000 0.2433 0.0000
8 Mn 0.5000 0.7567 0.0000
9 O 0.2508 0.2639 0.2244
10 O 0.2508 0.7361 0.2244
11 O 0.2550 0.5000 0.7782
12 O 0.2760 0.0000 0.7672
13 O 0.7240 0.0000 0.2328
14 O 0.7450 0.5000 0.2218
15 O 0.7492 0.2639 0.7756
16 O 0.7492 0.7361 0.7756



10.
A plane-wave DFT calculation with SCAN was carried out for a crystal of Li7Mn5O12 relaxed with PBEsol.

Summary:
energy above the most stable polymorph in this dataset: 1.50 eV per formula unit

a = 5.0151 Å, b = 2.8092 Å, c = 13.9275 Å
α = 90.00°, β = 91.25°, γ = 90.00°
Fractional coordinates of all 24 atoms:
1 Li 0.0000 0.0000 0.0000
2 Li 0.0000 0.0000 0.5000
3 Li 0.1655 0.5000 0.1696
4 Li 0.3229 0.0000 0.3390
5 Li 0.5000 0.5000 0.5000
6 Li 0.6771 0.0000 0.6610
7 Li 0.8345 0.5000 0.8304
8 Mn 0.1626 0.5000 0.6626
9 Mn 0.3367 0.0000 0.8369
10 Mn 0.5000 0.5000 0.0000
11 Mn 0.6633 0.0000 0.1631
12 Mn 0.8374 0.5000 0.3374
13 O 0.0330 0.0000 0.7501
14 O 0.1382 0.5000 0.4069
15 O 0.1844 0.5000 0.9153
16 O 0.3235 0.0000 0.5934
17 O 0.3500 0.0000 0.0796
18 O 0.4777 0.5000 0.7583
19 O 0.5223 0.5000 0.2417
20 O 0.6500 0.0000 0.9204
21 O 0.6765 0.0000 0.4066
22 O 0.8156 0.5000 0.0847
23 O 0.8618 0.5000 0.5931
24 O 0.9670 0.0000 0.2499



11.
A plane-wave DFT calculation with SCAN was carried out for a crystal of Li7Mn5O12 relaxed with PBEsol.

Summary:
energy above the most stable polymorph in this dataset: 0.21 eV per formula unit

a = 5.8285 Å, b = 5.8497 Å, c = 6.3118 Å
α = 103.21°, β = 102.86°, γ = 93.82°
Fractional coordinates of all 24 atoms:
1 Li 0.0000 0.0000 0.0000
2 Li 0.0000 0.5000 0.0000
3 Li 0.3318 0.3349 0.3233
4 Li 0.3493 0.8091 0.3277
5 Li 0.5000 0.5000 0.0000
6 Li 0.6507 0.1909 0.6723
7 Li 0.6682 0.6651 0.6767
8 Mn 0.1696 0.1703 0.6709
9 Mn 0.1752 0.6599 0.6698
10 Mn 0.5000 0.0000 0.0000
11 Mn 0.8248 0.3401 0.3302
12 Mn 0.8304 0.8297 0.3291
13 O 0.0485 0.1028 0.3467
14 O 0.0853 0.5687 0.3423
15 O 0.2543 0.7565 0.9871
16 O 0.2699 0.2201 0.9826
17 O 0.3838 0.4247 0.6660
18 O 0.4234 0.8980 0.6776
19 O 0.5766 0.1020 0.3224
20 O 0.6162 0.5753 0.3340
21 O 0.7301 0.7799 0.0174
22 O 0.7457 0.2435 0.0129
23 O 0.9147 0.4313 0.6577
24 O 0.9515 0.8972 0.6533



12.
A plane-wave DFT calculation with SCAN was carried out for a crystal of Li5Mn3O8 relaxed with PBEsol.

Summary:
energy above the most stable polymorph in this dataset: 0.05 eV per formula unit

a = 5.7271 Å, b = 5.7271 Å, c = 4.8753 Å
α = 106.67°, β = 106.67°, γ = 58.86°
Fractional coordinates of all 16 atoms:
1 Li 0.0000 0.0000 0.0000
2 Li 0.0000 0.5000 0.0000
3 Li 0.2465 0.2465 0.4927
4 Li 0.5000 0.0000 0.0000
5 Li 0.7535 0.7535 0.5073
6 Mn 0.2430 0.7570 0.5000
7 Mn 0.5000 0.5000 0.0000
8 Mn 0.7570 0.2430 0.5000
9 O 0.1153 0.1153 0.7245
10 O 0.1516 0.6237 0.7478
11 O 0.3763 0.8484 0.2522
12 O 0.3882 0.3882 0.2538
13 O 0.6118 0.6118 0.7462
14 O 0.6237 0.1516 0.7478
15 O 0.8484 0.3763 0.2522
16 O 0.8847 0.8847 0.2755



13.
A plane-wave DFT calculation with SCAN was carried out for a crystal of Li4Mn3O8 relaxed with PBEsol.

Summary:
E: -9.8710 eV per atom

a = 5.9608 Å, b = 5.9608 Å, c = 5.9608 Å
α = 56.26°, β = 56.26°, γ = 56.26°
Fractional coordinates of all 15 atoms:
1 Li 0.0000 0.0000 0.0000
2 Li 0.1415 0.1415 0.1415
3 Li 0.5000 0.5000 0.5000
4 Li 0.8585 0.8585 0.8585
5 Mn 0.0000 0.5000 0.5000
6 Mn 0.5000 0.0000 0.5000
7 Mn 0.5000 0.5000 0.0000
8 O 0.2445 0.2445 0.7190
9 O 0.2445 0.7190 0.2445
10 O 0.2668 0.2668 0.2668
11 O 0.2810 0.7555 0.7555
12 O 0.7190 0.2445 0.2445
13 O 0.7332 0.7332 0.7332
14 O 0.7555 0.2810 0.7555
15 O 0.7555 0.7555 0.2810



14.
A plane-wave DFT calculation with SCAN was carried out for a crystal of Li5MnO4 relaxed with PBEsol.

Summary:
energy above the most stable polymorph in this dataset: 0.00 eV per formula unit

a = 4.5331 Å, b = 6.4887 Å, c = 6.4887 Å
α = 86.42°, β = 90.00°, γ = 90.00°
Fractional coordinates of all 20 atoms:
1 Li 0.0000 0.0000 0.0000
2 Li 0.0293 0.4391 0.0269
3 Li 0.0785 0.7021 0.2631
4 Li 0.4215 0.2021 0.7631
5 Li 0.4707 0.9391 0.5269
6 Li 0.5000 0.5000 0.5000
7 Li 0.5293 0.5269 0.9391
8 Li 0.5785 0.7631 0.2021
9 Li 0.9215 0.2631 0.7021
10 Li 0.9707 0.0269 0.4391
11 Mn 0.0000 0.7262 0.7262
12 Mn 0.5000 0.2262 0.2262
13 O 0.1358 0.9984 0.7133
14 O 0.2094 0.4740 0.7429
15 O 0.2906 0.9740 0.2429
16 O 0.3642 0.4984 0.2133
17 O 0.6358 0.2133 0.4984
18 O 0.7094 0.2429 0.9740
19 O 0.7906 0.7429 0.4740
20 O 0.8642 0.7133 0.9984



15.
A plane-wave DFT calculation with SCAN was carried out for a crystal of Li3Mn2O5 relaxed with PBEsol.

Summary:
energy above the most stable polymorph in this dataset: 0.23 eV per formula unit

a = 12.0019 Å, b = 12.0019 Å, c = 5.0784 Å
α = 91.95°, β = 91.95°, γ = 13.48°
Fractional coordinates of all 20 atoms:
1 Li 0.0000 0.0000 0.0000
2 Li 0.0955 0.0955 0.6854
3 Li 0.3021 0.3021 0.1161
4 Li 0.5000 0.5000 0.5000
5 Li 0.6979 0.6979 0.8839
6 Li 0.9045 0.9045 0.3146
7 Mn 0.1989 0.1989 0.3761
8 Mn 0.4051 0.4051 0.8385
9 Mn 0.5949 0.5949 0.1615
10 Mn 0.8011 0.8011 0.6239
11 O 0.0553 0.0553 0.3235
12 O 0.1431 0.1431 0.0331
13 O 0.2538 0.2538 0.7479
14 O 0.3489 0.3489 0.5073
15 O 0.4467 0.4467 0.1345
16 O 0.5533 0.5533 0.8655
17 O 0.6511 0.6511 0.4927
18 O 0.7462 0.7462 0.2521
19 O 0.8569 0.8569 0.9669
20 O 0.9447 0.9447 0.6765



no.,magnetic moment (μB/f.u.)
1,9.94
2,2.68
3,23.00
4,3.85
5,15.56
6,5.00
7,15.00
8,4.00
9,8.00
10,8.03
11,16.00
12,8.00
13,8.98
14,4.00
15,7.00